Entry from Alexandria: crystalline Dy6Ho12Er at its relaxed geometry (GGA-PBE).

**VASP energy**: -4.426 eV/atom
**Size of the total moment**: 0.01 Bohr magnetons per cell
**Polymorph energy (0 for the lowest one)**: 0.0 meV/atom
**E_form**: 159 meV/atom

Lattice parameters (Å, degrees): 8.4550 8.4550 8.4550 88.33 88.33 88.33
Last column: nearest neighbours and their distance in Å.
Sites, in units of the cell vectors:
Dy (0.7436, 0.9083, 0.3102)  6 Ho 3.24-3.57, 1 Er 3.44, 2 Dy 3.45
Dy (0.6898, 0.2564, 0.0917)  6 Ho 3.24-3.57, 1 Er 3.44, 2 Dy 3.45
Dy (0.0917, 0.6898, 0.2564)  6 Ho 3.24-3.57, 1 Er 3.44, 2 Dy 3.45
Dy (0.2564, 0.0917, 0.6898)  6 Ho 3.24-3.57, 1 Er 3.44, 2 Dy 3.45
Dy (0.3102, 0.7436, 0.9083)  6 Ho 3.24-3.57, 1 Er 3.44, 2 Dy 3.45
Dy (0.9083, 0.3102, 0.7436)  6 Ho 3.24-3.57, 1 Er 3.44, 2 Dy 3.45
Ho (0.7742, 0.5432, 0.4360)  3 Dy 3.24-3.42, 6 Ho 3.26-3.53
Ho (0.4360, 0.7742, 0.5432)  3 Dy 3.24-3.42, 6 Ho 3.26-3.53
Ho (0.5432, 0.4360, 0.7742)  3 Dy 3.24-3.42, 6 Ho 3.26-3.53
Ho (0.2258, 0.4568, 0.5639)  3 Dy 3.24-3.42, 6 Ho 3.26-3.53
Ho (0.5639, 0.2258, 0.4568)  3 Dy 3.24-3.42, 6 Ho 3.26-3.53
Ho (0.4568, 0.5639, 0.2258)  3 Dy 3.24-3.42, 6 Ho 3.26-3.53
Ho (0.0106, 0.2074, 0.3555)  4 Ho 3.39-3.53, 4 Dy 3.47-3.65, 1 Er 3.53
Ho (0.7926, 0.6445, 0.9894)  4 Ho 3.39-3.53, 4 Dy 3.47-3.65, 1 Er 3.53
Ho (0.6445, 0.9894, 0.7926)  4 Ho 3.39-3.53, 4 Dy 3.47-3.65, 1 Er 3.53
Ho (0.9894, 0.7926, 0.6445)  4 Ho 3.39-3.53, 4 Dy 3.47-3.65, 1 Er 3.53
Ho (0.2074, 0.3555, 0.0106)  4 Ho 3.39-3.53, 4 Dy 3.47-3.65, 1 Er 3.53
Ho (0.3555, 0.0106, 0.2074)  4 Ho 3.39-3.53, 4 Dy 3.47-3.65, 1 Er 3.53
Er (0.0000, 0.0000, 0.0000)  6 Dy 3.44, 6 Ho 3.53